Here is Fe3AsF after structural relaxation from Alexandria. Energies are from PBE with a Hubbard U.

Summary:
- offset from the most stable computed form (kJ per mole of atoms) = 20.2
- symmetry = Pm-3m
- calculated total energy (eV/cell) = -20.403

a b c (Å): 4.664 4.664 4.664
angles (deg): 90.00 90.00 90.00
Fractional positions:
1 As 0.000 0.000 0.000
2 Fe 0.000 0.500 0.000
3 Fe 0.000 0.000 0.500
4 Fe 0.500 0.000 0.000
5 F 0.500 0.500 0.500